The following is a GGA-PBE calculation of TmNbCu after structural relaxation, from the Alexandria database.

```
TmNbCu
1.0
2.2764 -2.2803 0.0000
2.2764 2.2803 0.0000
0.0000 0.0000 11.1550
Tm Nb Cu
2 2 2
Direct
0.0000 0.0000 0.1685 Tm
0.0000 0.0000 0.8315 Tm
0.5000 0.5000 0.3637 Nb
0.5000 0.5000 0.6363 Nb
0.0000 0.0000 0.5000 Cu
0.5000 0.5000 0.0000 Cu
```

Calculated values
For the size of the total moment, the calculation gives 0.00 μB per cell. As for the calculated total energy: -6.154 eV per atom. As for the formation enthalpy at 0 K: 59 meV/atom.